DFT (GGA-PBE) results for crystalline Pr4ReI5 at its relaxed geometry.

ΔE_f (raw), eV per atom: -0.947

Unit cell a=19.980 b=4.267 c=9.643 alpha=90.00 beta=103.86 gamma=90.00
Space group C2/m (No. 12)
Unique sites:
Pr: 0.000 0.000 0.220 (multiplicity 4)
Pr: 0.138 0.500 0.071 (multiplicity 4)
Re: 0.000 0.500 0.000 (multiplicity 2)
I: 0.000 0.500 0.500 (multiplicity 2)
I: 0.167 0.000 0.333 (multiplicity 4)
I: 0.170 0.000 0.837 (multiplicity 4)

---

DFT (GGA-PBE) results for crystalline PrRhI2 at its relaxed geometry.

ΔE_f (raw), eV per atom: -0.024

Unit cell a=3.9722 b=3.9722 c=28.0685 alpha=90.00 beta=90.00 gamma=120.00
Space group R-3m (No. 166, hexagonal axes)
Unique sites:
Pr: 0.0000 0.0000 0.0000 (multiplicity 3)
Rh: 0.0000 0.0000 0.5000 (multiplicity 3)
I: 0.0000 0.0000 0.1123 (multiplicity 6)

---

DFT (GGA-PBE) results for crystalline Pr4RhI5 at its relaxed geometry.

ΔE_f (raw), eV per atom: -1.174

Unit cell a=20.021 b=4.233 c=9.271 alpha=90.00 beta=103.13 gamma=90.00
Space group C2/m (No. 12)
Unique sites:
Pr: 0.000 0.000 0.206 (multiplicity 4)
Pr: 0.148 0.500 0.078 (multiplicity 4)
Rh: 0.000 0.500 0.000 (multiplicity 2)
I: 0.000 0.500 0.500 (multiplicity 2)
I: 0.168 0.000 0.348 (multiplicity 4)
I: 0.175 0.000 0.826 (multiplicity 4)

---

DFT (GGA-PBE) results for crystalline Pr3RhI at its relaxed geometry.

ΔE_f (raw), eV per atom: -0.598

Unit cell a=4.003 b=9.734 c=8.653 alpha=90.00 beta=90.00 gamma=90.00
Space group Pmmn (No. 59, origin choice 2)
Unique sites:
Pr: 0.250 0.073 0.160 (multiplicity 4)
Pr: 0.250 0.250 0.765 (multiplicity 2)
Rh: 0.250 0.750 0.011 (multiplicity 2)
I: 0.250 0.750 0.563 (multiplicity 2)

---

DFT (GGA-PBE) results for crystalline Pr7RhI12 at its relaxed geometry.

ΔE_f (raw), eV per atom: -1.275

Unit cell a=16.2523 b=16.2523 c=11.0992 alpha=90.00 beta=90.00 gamma=120.00
Space group R-3 (No. 148, hexagonal axes)
Unique sites:
Pr: 0.0000 0.0000 0.0000 (multiplicity 3)
Pr: 0.0431 0.1601 0.3532 (multiplicity 18)
Rh: 0.0000 0.0000 0.5000 (multiplicity 3)
I: 0.0212 0.5864 0.1606 (multiplicity 18)
I: 0.0498 0.1820 0.8398 (multiplicity 18)

---

DFT (GGA-PBE) results for crystalline Pr3RhI2 at its relaxed geometry.

ΔE_f (raw), eV per atom: -0.884

Unit cell a=4.079 b=6.321 c=15.272 alpha=90.00 beta=90.00 gamma=90.00
Space group Immm (No. 71)
Unique sites:
Pr: 0.000 0.000 0.000 (multiplicity 2)
Pr: 0.000 0.000 0.378 (multiplicity 4)
Rh: 0.000 0.500 0.000 (multiplicity 2)
I: 0.000 0.500 0.317 (multiplicity 4)

---

DFT (GGA-PBE) results for crystalline Pr6Ru2RhI3 at its relaxed geometry.

ΔE_f (raw), eV per atom: -0.728

Unit cell a=7.256 b=12.568 c=8.584 alpha=90.00 beta=106.37 gamma=90.00
Space group C2/m (No. 12)
Unique sites:
Pr: 0.224 0.000 0.186 (multiplicity 4)
Pr: 0.231 0.331 0.186 (multiplicity 8)
Ru: 0.000 0.166 0.000 (multiplicity 4)
Rh: 0.000 0.500 0.000 (multiplicity 2)
I: 0.000 0.000 0.500 (multiplicity 2)
I: 0.000 0.333 0.500 (multiplicity 4)

---

DFT (GGA-PBE) results for crystalline Pr8Ru3RhI4 at its relaxed geometry.

ΔE_f (raw), eV per atom: -0.696

Unit cell a=8.3795 b=8.3795 c=24.7018 alpha=90.00 beta=90.00 gamma=120.00
Space group R-3m (No. 166, hexagonal axes)
Unique sites:
Pr: 0.0000 0.0000 0.2292 (multiplicity 6)
Pr: 0.0051 0.5025 0.7714 (multiplicity 18)
Ru: 0.0000 0.5000 0.5000 (multiplicity 9)
Rh: 0.0000 0.0000 0.5000 (multiplicity 3)
I: 0.0000 0.0000 0.0000 (multiplicity 3)
I: 0.0000 0.5000 0.0000 (multiplicity 9)

---

DFT (GGA-PBE) results for crystalline Pr4RhSI2 at its relaxed geometry.

ΔE_f (raw), eV per atom: -1.171

Unit cell a=7.540 b=4.119 c=8.261 alpha=90.00 beta=106.76 gamma=90.00
Space group P2/m (No. 10)
Unique sites:
Pr: 0.216 0.000 0.190 (multiplicity 2)
Pr: 0.274 0.500 0.807 (multiplicity 2)
Rh: 0.000 0.500 0.000 (multiplicity 1)
S: 0.500 0.000 0.000 (multiplicity 1)
I: 0.000 0.000 0.500 (multiplicity 1)
I: 0.500 0.500 0.500 (multiplicity 1)

---

DFT (GGA-PBE) results for crystalline Pr8Rh3SI4 at its relaxed geometry.

ΔE_f (raw), eV per atom: -1.033

Unit cell a=8.5007 b=8.5007 c=24.2468 alpha=90.00 beta=90.00 gamma=120.00
Space group R-3m (No. 166, hexagonal axes)
Unique sites:
Pr: 0.0000 0.0000 0.2286 (multiplicity 6)
Pr: 0.0107 0.5054 0.7710 (multiplicity 18)
Rh: 0.0000 0.5000 0.5000 (multiplicity 9)
S: 0.0000 0.0000 0.5000 (multiplicity 3)
I: 0.0000 0.0000 0.0000 (multiplicity 3)
I: 0.0000 0.5000 0.0000 (multiplicity 9)

---

DFT (GGA-PBE) results for crystalline Pr6Rh2SeI3 at its relaxed geometry.

ΔE_f (raw), eV per atom: -1.068

Unit cell a=7.464 b=12.919 c=8.405 alpha=90.00 beta=107.15 gamma=90.00
Space group C2/m (No. 12)
Unique sites:
Pr: 0.208 0.000 0.189 (multiplicity 4)
Pr: 0.242 0.323 0.190 (multiplicity 8)
Rh: 0.000 0.167 0.000 (multiplicity 4)
Se: 0.000 0.500 0.000 (multiplicity 2)
I: 0.000 0.000 0.500 (multiplicity 2)
I: 0.000 0.337 0.500 (multiplicity 4)

---

| no. | total magnetization (μB per formula unit) | DOS at the Fermi energy (states/eV/f.u.) |
| --- | --- | --- |
| 1 | 0.16 | 6.0 |
| 2 | 0.00 | 5.1 |
| 3 | 0.00 | 7.1 |
| 4 | 0.00 | 4.6 |
| 5 | 0.48 | 15.5 |
| 6 | 0.40 | 4.4 |
| 7 | 0.00 | 6.7 |
| 8 | 0.00 | 8.1 |
| 9 | 0.00 | 5.1 |
| 10 | 0.00 | 10.1 |
| 11 | 0.00 | 6.6 |